# PBE with a Hubbard U BaSc6Ni4O15, optimized geometry
data_BaSc6Ni4O15
_chemical_formula_sum 'Ba2 Sc12 Ni8 O30'
_cell_length_a 7.981
_cell_length_b 7.981
_cell_length_c 9.723
_cell_angle_alpha 90.00
_cell_angle_beta 90.00
_cell_angle_gamma 83.43
_space_group_name_H-M_alt 'P 1'
_space_group_IT_number 1
loop_
_space_group_symop_operation_xyz
'x,y,z'
loop_
_atom_site_label
_atom_site_fract_x
_atom_site_fract_y
_atom_site_fract_z
_atom_site_occupancy
Ba1 0.000 0.000 0.000 1
Ba2 0.500 0.500 0.500 1
Sc1 0.045 0.222 0.645 1
Sc2 0.184 0.816 0.641 1
Sc3 0.222 0.045 0.355 1
Sc4 0.278 0.455 0.855 1
Sc5 0.316 0.684 0.141 1
Sc6 0.455 0.278 0.145 1
Sc7 0.545 0.722 0.855 1
Sc8 0.684 0.316 0.859 1
Sc9 0.722 0.545 0.145 1
Sc10 0.778 0.955 0.645 1
Sc11 0.816 0.184 0.359 1
Sc12 0.955 0.778 0.355 1
Ni1 0.082 0.405 0.116 1
Ni2 0.095 0.418 0.384 1
Ni3 0.405 0.082 0.884 1
Ni4 0.418 0.095 0.616 1
Ni5 0.582 0.905 0.384 1
Ni6 0.595 0.918 0.116 1
Ni7 0.905 0.582 0.616 1
Ni8 0.918 0.595 0.884 1
O1 0.000 0.000 0.500 1
O2 0.044 0.215 0.253 1
O3 0.058 0.442 0.750 1
O4 0.106 0.634 0.500 1
O5 0.134 0.606 0.000 1
O6 0.151 0.849 0.240 1
O7 0.215 0.044 0.747 1
O8 0.247 0.247 0.500 1
O9 0.253 0.253 0.000 1
O10 0.285 0.456 0.247 1
O11 0.349 0.651 0.740 1
O12 0.366 0.894 0.500 1
O13 0.394 0.866 0.000 1
O14 0.442 0.058 0.250 1
O15 0.456 0.285 0.753 1
O16 0.500 0.500 0.000 1
O17 0.544 0.715 0.247 1
O18 0.558 0.942 0.750 1
O19 0.606 0.134 0.000 1
O20 0.634 0.106 0.500 1
O21 0.651 0.349 0.260 1
O22 0.715 0.544 0.753 1
O23 0.747 0.747 0.000 1
O24 0.753 0.753 0.500 1
O25 0.785 0.956 0.253 1
O26 0.849 0.151 0.760 1
O27 0.866 0.394 0.000 1
O28 0.894 0.366 0.500 1
O29 0.942 0.558 0.250 1
O30 0.956 0.785 0.747 1
# **Energy**: -7.330 eV per atom